The following is a DFT calculation (PBE with a Hubbard U) of crystalline Na2PuNiO4 at its relaxed geometry.

Unit cell a=3.2219 b=5.8632 c=6.0809 alpha=114.13 beta=90.00 gamma=90.00
Each line ends with the local moment (μB).
Sites, in units of the cell vectors:
Na 0.5000 0.0000 0.5000  0.00
Na 0.0000 0.5000 0.5000  0.00
Pu 0.5000 0.5000 0.0000  4.13
Ni 0.0000 0.0000 0.0000  0.16
O 0.5000 0.2256 0.1734  -0.06
O 0.5000 0.7744 0.8266  -0.06
O 0.0000 0.2907 0.7520  -0.10
O 0.0000 0.7093 0.2480  -0.10

- calculated total energy (eV/atom) = -6.76